4
Lattice="4.1277 0.0000 0.0000 0.0000 3.7363 0.0056 0.0000 1.8585 5.1491" Properties=species:S:1:pos:R:3 comment="TcNiPb2 (PBE, relaxed)" e_form_ev_per_atom=0.3606 pbc="T T T"
Ni 2.0639 3.4962 3.9059
Pb 0.0000 5.3621 4.7588
Pb 2.0639 1.6310 1.6696
Tc 0.0000 3.4976 2.5523